DFT (PBE) results for a geometry-optimized Dy3HoTl4 structure.

Cell lengths 6.5432, 6.5096, 10.5997 Å; angles 90.00, 90.00, 90.00 degrees
With the nearest neighbours (Å) after each atom.
Fractional coordinates of all 16 atoms:
Dy: 0.5644 0.2514 0.2495  6 Tl 3.25-3.33, 2 Ho 3.50-3.60, 2 Dy 3.50-3.61
Dy: 0.0644 0.7486 0.7495  6 Tl 3.25-3.33, 2 Ho 3.50-3.60, 2 Dy 3.50-3.61
Dy: 0.2502 0.0478 0.5000  4 Tl 3.20-3.33, 2 Ho 3.36-3.37, 2 Dy 3.50
Dy: 0.5644 0.2514 0.7505  6 Tl 3.25-3.33, 2 Ho 3.50-3.60, 2 Dy 3.50-3.61
Dy: 0.0644 0.7486 0.2505  6 Tl 3.25-3.33, 2 Ho 3.50-3.60, 2 Dy 3.50-3.61
Dy: 0.7502 0.9522 0.0000  4 Tl 3.20-3.33, 2 Ho 3.36-3.37, 2 Dy 3.50
Tl: 0.0642 0.2487 0.7509  1 Ho 3.19, 5 Dy 3.20-3.27, 2 Tl 3.39-3.41
Tl: 0.8706 0.5114 0.5000  2 Ho 3.22-3.34, 2 Dy 3.31, 4 Tl 3.33-3.41
Tl: 0.0642 0.2487 0.2491  1 Ho 3.19, 5 Dy 3.20-3.27, 2 Tl 3.39-3.41
Tl: 0.5642 0.7513 0.7491  1 Ho 3.19, 5 Dy 3.20-3.27, 2 Tl 3.39-3.41
Tl: 0.5642 0.7513 0.2509  1 Ho 3.19, 5 Dy 3.20-3.27, 2 Tl 3.39-3.41
Tl: 0.7582 0.0122 0.5000  4 Dy 3.23-3.33, 4 Tl 3.33-3.39
Tl: 0.3706 0.4886 0.0000  2 Ho 3.22-3.34, 2 Dy 3.31, 4 Tl 3.33-3.41
Tl: 0.2582 0.9878 0.0000  4 Dy 3.23-3.33, 4 Tl 3.33-3.39
Ho: 0.3792 0.5471 0.5000  4 Tl 3.19-3.34, 4 Dy 3.36-3.50
Ho: 0.8792 0.4529 0.0000  4 Tl 3.19-3.34, 4 Dy 3.36-3.50

Properties
As for the spin magnetization: 0.0 μB per cell. The value obtained for the volume is 225.74 Å³/f.u. The symmetry is Pmn2_1 (31). The energy above the lowest structure with this stoichiometry comes out at 130 meV/atom. Its crystal system is orthorhombic. As for the energy relative to the elements: -0.211 eV/atom.

DFT (PBE) results for a geometry-optimized HfMgFe3 structure.

Cell lengths 4.6113, 4.6113, 4.6113 Å; angles 90.00, 90.00, 90.00 degrees
With the nearest neighbours (Å) after each atom.
Fractional coordinates of all 5 atoms:
Hf: 0.0000 0.0000 0.0000  6 Fe 2.31
Mg: 0.5000 0.5000 0.5000  12 Fe 3.26
Fe: 0.5000 0.0000 0.0000  2 Hf 2.31
Fe: 0.0000 0.5000 0.0000  2 Hf 2.31
Fe: 0.0000 0.0000 0.5000  2 Hf 2.31

Properties
As for the spin magnetization: 5.7 μB per cell. The value obtained for the volume is 98.05 Å³/f.u. The symmetry is Pm-3m (221). The energy above the lowest structure with this stoichiometry comes out at 58 meV/atom. Its crystal system is cubic. As for the energy relative to the elements: 1.229 eV/atom.